The following is a DFT calculation (PBE) of a geometry-optimized Cr2FeSe structure.

Output
As for the total moment: 3.6 μB per cell. For the energy above the most stable polymorph in this dataset, the calculation gives 12 meV per atom. The density of states at the Fermi level is 3.187 states/eV/f.u. The space-group type is Imm2, No. 44. The calculation puts the total energy at -7.560 eV per atom. The calculation puts the theoretical density at 7.6 g/cm3. The uncorrected formation energy is 0.239 eV/atom.

Cell: 3.213 4.030 8.066 Å, 90.00 90.00 90.00°
Positions (direct):
Cr  0.000  0.000  0.000
Cr  0.000  0.500  0.246
Cr  0.500  0.000  0.746
Cr  0.500  0.500  0.500
Fe  0.000  0.500  0.755
Fe  0.500  0.000  0.255
Se  0.000  0.000  0.492
Se  0.500  0.500  0.992